Record 1
{
  "formula": "RbTiGa3",
  "functional": "PBEsol",
  "state": "optimized geometry",
  "lattice_angstrom": [[-0.251, -5.141, -1.662], [3.241, -1.475, 4.072], [-4.323, -0.807, 3.149]],
  "species": ["Ga", "Ga", "Ga", "Rb", "Ti"],
  "fractional_positions": [[0.500, 0.000, 0.000], [0.000, 0.500, 0.000], [0.000, 0.000, 0.500], [0.000, 0.000, 0.000], [0.500, 0.500, 0.500]],
  "space_group": "Pm-3m (221)",
  "formation_enthalpy_0k_ev_per_atom": 1.68,
  "m_tot_mub_per_fu": 2.09,
  "dft_energy_ev_per_atom": -2.19,
  "crystal_system": "cubic"
}


Record 2
{
  "formula": "Mo2IrOs",
  "functional": "PBEsol",
  "state": "optimized geometry",
  "lattice_angstrom": [[2.742, 0.000, 0.000], [0.000, 2.742, 0.000], [0.000, 0.000, 7.746]],
  "species": ["Os", "Mo", "Mo", "Ir"],
  "fractional_positions": [[0.500, 0.500, 0.000], [0.000, 0.000, 0.248], [0.000, 0.000, 0.752], [0.500, 0.500, 0.500]],
  "space_group": "P4/mmm (123)",
  "formation_enthalpy_0k_ev_per_atom": -0.13,
  "polymorph_energy_mev_per_atom": 14,
  "m_tot_mub_per_fu": 0.00,
  "dft_energy_ev_per_atom": -11.52,
  "crystal_system": "tetragonal"
}


Record 3
{
  "formula": "Sb2TeIrI",
  "functional": "PBEsol",
  "state": "optimized geometry",
  "lattice_angstrom": [[-1.712, 1.079, 4.686], [4.651, -0.892, 1.905], [1.307, 5.250, -0.731]],
  "species": ["Ir", "Sb", "Sb", "I", "Te"],
  "fractional_positions": [[0.000, 0.000, 0.000], [0.000, 0.500, 0.000], [0.500, 0.000, 0.000], [0.500, 0.500, 0.500], [0.000, 0.000, 0.500]],
  "space_group": "P4/mmm (123)",
  "formation_energy_uncorrected_mev_per_atom": 407.1,
  "polymorph_energy_mev_per_atom": 0,
  "m_tot_mub_per_fu": 0.00,
  "dft_energy_ev_per_atom": -4.44,
  "crystal_system": "tetragonal"
}


Record 4
{
  "formula": "Rb2NaNdI6",
  "functional": "PBEsol",
  "state": "optimized geometry",
  "lattice_angstrom": [[-4.869, 4.957, -5.124], [-2.970, -3.129, -7.478], [-8.412, -1.704, -0.929]],
  "species": ["I", "I", "I", "I", "I", "I", "Nd", "Na", "Rb", "Rb"],
  "fractional_positions": [[0.250, 0.250, 0.750], [0.750, 0.750, 0.250], [0.750, 0.250, 0.750], [0.750, 0.250, 0.250], [0.250, 0.750, 0.250], [0.250, 0.750, 0.750], [0.000, 0.000, 0.000], [0.500, 0.500, 0.500], [0.250, 0.250, 0.250], [0.750, 0.750, 0.750]],
  "space_group": "Fm-3m (225)",
  "formation_energy_uncorrected_mev_per_atom": -1361.2,
  "m_tot_mub_per_fu": 0.00,
  "dft_energy_ev_per_atom": -3.28,
  "crystal_system": "cubic"
}